TaAlTcOs: relaxed, GGA-PBE.

POSCAR file:
```
TaAlTcOs
1.0
4.409 0.000 0.000
2.204 3.818 0.000
2.204 1.273 3.600
Ta Os Tc Al
1 1 1 1
Direct
0.000 0.000 0.000 Ta
0.750 0.750 0.750 Os
0.250 0.250 0.250 Tc
0.500 0.500 0.500 Al
```

Values from the calculation:
Crystal system = cubic
E = -39.19 eV per formula unit
D(E_F) = 0.54 states/eV/atom